{
  "formula": "LiTiHg2",
  "functional": "GGA-PBE",
  "state": "relaxed",
  "lattice_angstrom": [[-1.639, 2.140, 1.624], [0.698, -2.571, 4.093], [4.110, 2.492, 0.864]],
  "species": ["Hg", "Hg", "Li", "Ti"],
  "frac_coords": [[0.000, 0.500, 0.000], [0.000, 0.000, 0.500], [0.500, 0.500, 0.500], [0.500, 0.000, 0.000]],
  "space_group": "P4/mmm",
  "e_form_ev_per_fu": -0.68
}

=====

{
  "formula": "AlNi4Te",
  "functional": "GGA-PBE",
  "state": "relaxed",
  "lattice_angstrom": [[0.000, 3.435, 3.435], [3.435, 0.000, 3.435], [3.435, 3.435, 0.000]],
  "species": ["Ni", "Ni", "Ni", "Ni", "Te", "Al"],
  "frac_coords": [[0.374, 0.374, 0.374], [0.374, 0.374, 0.877], [0.374, 0.877, 0.374], [0.877, 0.374, 0.374], [0.750, 0.750, 0.750], [0.000, 0.000, 0.000]],
  "space_group": "F-43m",
  "e_form_raw_mev_per_atom": 19
}

=====

{
  "formula": "Mg2BiPb3",
  "functional": "GGA-PBE",
  "state": "relaxed",
  "lattice_angstrom": [[-3.338, 2.642, -2.325], [1.119, -2.083, -4.235], [-9.082, -10.924, 5.821]],
  "species": ["Bi", "Bi", "Pb", "Pb", "Pb", "Pb", "Pb", "Pb", "Mg", "Mg", "Mg", "Mg"],
  "frac_coords": [[0.317, 0.317, 0.634], [0.683, 0.683, 0.366], [0.831, 0.831, 0.662], [0.177, 0.177, 0.855], [0.322, 0.322, 0.145], [0.823, 0.823, 0.145], [0.169, 0.169, 0.338], [0.678, 0.678, 0.855], [0.250, 0.750, 0.500], [0.250, 0.750, 0.000], [0.750, 0.250, 0.000], [0.750, 0.250, 0.500]],
  "space_group": "Fmmm",
  "e_form_ev_per_fu": -0.33
}

=====

{
  "formula": "CdPbSe",
  "functional": "GGA-PBE",
  "state": "relaxed",
  "lattice_angstrom": [[-1.231, 2.900, -2.758], [-2.738, -2.830, 1.424], [-1.356, 3.431, 4.213]],
  "species": ["Pb", "Cd", "Se"],
  "frac_coords": [[0.333, 0.667, 0.350], [0.000, 0.000, 0.963], [0.667, 0.333, 0.687]],
  "space_group": "P3m1",
  "e_form_raw_mev_per_atom": -248
}

=====

{
  "formula": "Rb2LiSi",
  "functional": "GGA-PBE",
  "state": "relaxed",
  "lattice_angstrom": [[-0.613, 1.978, 4.547], [4.226, -2.190, 1.522], [8.163, 9.770, -0.403]],
  "species": ["Li", "Li", "Rb", "Rb", "Rb", "Rb", "Si", "Si"],
  "frac_coords": [[0.500, 0.500, 0.000], [0.250, 0.750, 0.500], [0.625, 0.125, 0.250], [0.125, 0.625, 0.250], [0.875, 0.875, 0.750], [0.375, 0.375, 0.750], [0.000, 0.000, 0.000], [0.750, 0.250, 0.500]],
  "space_group": "I-42d",
  "e_form_raw_mev_per_atom": 610
}

=====

{
  "formula": "Mg3AgSn3Ru2",
  "functional": "GGA-PBE",
  "state": "relaxed",
  "lattice_angstrom": [[-0.260, 1.589, 2.935], [-7.094, 2.064, -1.746], [1.262, -6.536, 3.649]],
  "species": ["Ru", "Ru", "Mg", "Mg", "Mg", "Sn", "Sn", "Sn", "Ag"],
  "frac_coords": [[0.500, 0.333, 0.667], [0.500, 0.667, 0.333], [0.500, 0.717, 0.000], [0.500, 0.283, 0.283], [0.500, 0.000, 0.717], [0.000, 0.613, 0.613], [0.000, 0.387, 0.000], [0.000, 0.000, 0.387], [0.000, 0.000, 0.000]],
  "space_group": "P-62m",
  "e_form_ev_per_fu": -1.08
}

=====

{
  "formula": "K2PuNi2S4",
  "functional": "GGA-PBE",
  "state": "relaxed",
  "lattice_angstrom": [[3.876, 0.000, 0.000], [-1.938, 7.118, -0.030], [0.000, -2.499, 7.116]],
  "species": ["S", "S", "S", "S", "K", "K", "Pu", "Ni", "Ni"],
  "frac_coords": [[0.200, 0.400, 0.162], [0.475, 0.951, 0.228], [0.525, 0.049, 0.772], [0.800, 0.600, 0.838], [0.866, 0.731, 0.440], [0.134, 0.269, 0.560], [0.000, 0.000, 0.000], [0.316, 0.633, 0.012], [0.684, 0.367, 0.988]],
  "space_group": "C2/m",
  "e_form_raw_mev_per_atom": -1067
}

=====

{
  "formula": "TaNiSe3",
  "functional": "GGA-PBE",
  "state": "relaxed",
  "lattice_angstrom": [[-0.175, 3.846, 2.500], [-3.773, 1.302, -2.268], [-2.609, -2.142, 3.111]],
  "species": ["Ni", "Se", "Se", "Se", "Ta"],
  "frac_coords": [[0.000, 0.000, 0.000], [0.000, 0.000, 0.500], [0.500, 0.000, 0.000], [0.000, 0.500, 0.000], [0.500, 0.500, 0.500]],
  "space_group": "Pm-3m",
  "e_form_raw_mev_per_atom": 592
}

=====

{
  "formula": "Nd2Dy2In3",
  "functional": "GGA-PBE",
  "state": "relaxed",
  "lattice_angstrom": [[4.604, 0.000, 0.611], [0.000, 3.507, 0.000], [0.681, 0.000, 12.521]],
  "species": ["Dy", "Dy", "In", "In", "In", "Nd", "Nd"],
  "frac_coords": [[0.704, 0.500, 0.593], [0.296, 0.500, 0.407], [0.851, 0.000, 0.298], [0.149, 0.000, 0.702], [0.000, 0.000, 0.000], [0.428, 0.500, 0.143], [0.572, 0.500, 0.857]],
  "space_group": "Cmmm",
  "e_form_ev_per_fu": -2.19
}

=====

{
  "formula": "MnAl3Ni2",
  "functional": "GGA-PBE",
  "state": "relaxed",
  "lattice_angstrom": [[-2.287, 1.221, 1.085], [-1.358, -0.385, -2.430], [-3.044, -8.397, 3.030]],
  "species": ["Al", "Al", "Al", "Ni", "Ni", "Mn"],
  "frac_coords": [[0.000, 0.000, 0.677], [0.000, 0.000, 0.323], [0.000, 0.000, 0.000], [0.500, 0.500, 0.161], [0.500, 0.500, 0.839], [0.500, 0.500, 0.500]],
  "space_group": "P4/mmm",
  "e_form_ev_per_fu": -3.13
}

=====

{
  "formula": "SnAs2Rh2",
  "functional": "GGA-PBE",
  "state": "relaxed",
  "lattice_angstrom": [[7.613, 0.000, 0.000], [0.000, 7.613, 0.000], [0.000, 0.000, 3.047]],
  "species": ["As", "As", "As", "As", "Rh", "Rh", "Rh", "Rh", "Sn", "Sn"],
  "frac_coords": [[0.857, 0.357, 0.500], [0.143, 0.643, 0.500], [0.357, 0.143, 0.500], [0.643, 0.857, 0.500], [0.635, 0.135, 0.000], [0.865, 0.635, 0.000], [0.365, 0.865, 0.000], [0.135, 0.365, 0.000], [0.000, 0.000, 0.000], [0.500, 0.500, 0.000]],
  "space_group": "P4/mbm",
  "e_form_ev_per_fu": -0.84
}

=====

{
  "formula": "Na2Pb2IO6",
  "functional": "GGA-PBE",
  "state": "relaxed",
  "lattice_angstrom": [[-5.191, 0.847, -2.553], [0.174, -4.747, 3.408], [0.111, 4.473, 4.098]],
  "species": ["O", "O", "O", "O", "O", "O", "Pb", "Pb", "Na", "Na", "I"],
  "frac_coords": [[0.652, 0.949, 0.291], [0.188, 0.188, 0.284], [0.051, 0.348, 0.709], [0.949, 0.652, 0.291], [0.812, 0.812, 0.716], [0.348, 0.051, 0.709], [0.811, 0.189, 0.000], [0.189, 0.811, 0.000], [0.347, 0.653, 0.500], [0.653, 0.347, 0.500], [0.000, 0.000, 0.500]],
  "space_group": "C2/m",
  "e_form_raw_mev_per_atom": -950
}

=====

{
  "formula": "Mo2RuAu",
  "functional": "GGA-PBE",
  "state": "relaxed",
  "lattice_angstrom": [[-0.658, 3.960, -2.725], [-1.578, 1.753, -4.240], [-4.620, 1.109, 1.188]],
  "species": ["Ru", "Mo", "Mo", "Au"],
  "frac_coords": [[0.494, 0.494, 0.528], [0.003, 0.003, 0.996], [0.754, 0.754, 0.731], [0.249, 0.249, 0.244]],
  "space_group": "Cm",
  "e_form_ev_per_fu": 0.89
}

=====

{
  "formula": "AlCu2Au6",
  "functional": "GGA-PBE",
  "state": "relaxed",
  "lattice_angstrom": [[-2.290, -0.017, -3.600], [-6.980, -0.843, 4.445], [-0.729, 8.274, 0.425]],
  "species": ["Au", "Au", "Au", "Au", "Au", "Au", "Au", "Au", "Au", "Au", "Au", "Au", "Cu", "Cu", "Cu", "Cu", "Al", "Al"],
  "frac_coords": [[0.500, 0.179, 0.979], [0.000, 0.367, 0.133], [0.500, 0.521, 0.321], [0.000, 0.021, 0.179], [0.000, 0.679, 0.521], [0.000, 0.979, 0.821], [0.000, 0.633, 0.867], [0.500, 0.133, 0.633], [0.500, 0.479, 0.679], [0.500, 0.821, 0.021], [0.500, 0.867, 0.367], [0.000, 0.321, 0.479], [0.000, 0.694, 0.194], [0.000, 0.306, 0.806], [0.500, 0.806, 0.694], [0.500, 0.194, 0.306], [0.500, 0.500, 0.000], [0.000, 0.000, 0.500]],
  "space_group": "P4_2/mnm",
  "e_form_ev_per_fu": -1.28
}

=====

{
  "formula": "AcTlSn4",
  "functional": "GGA-PBE",
  "state": "relaxed",
  "lattice_angstrom": [[6.348, 0.000, 0.000], [3.174, 5.498, 0.000], [3.174, 1.833, 5.183]],
  "species": ["Sn", "Sn", "Sn", "Sn", "Tl", "Ac"],
  "frac_coords": [[0.625, 0.625, 0.625], [0.625, 0.625, 0.125], [0.625, 0.125, 0.625], [0.125, 0.625, 0.625], [0.000, 0.000, 0.000], [0.250, 0.250, 0.250]],
  "space_group": "F-43m",
  "e_form_ev_per_fu": -1.70
}

=====

{
  "formula": "Mn2VPIr",
  "functional": "GGA-PBE",
  "state": "relaxed",
  "lattice_angstrom": [[4.203, 0.000, 0.000], [0.000, 4.291, 0.000], [0.000, 0.000, 4.203]],
  "species": ["Mn", "Mn", "V", "Ir", "P"],
  "frac_coords": [[0.500, 0.000, 0.000], [0.000, 0.000, 0.500], [0.000, 0.500, 0.000], [0.500, 0.500, 0.500], [0.000, 0.000, 0.000]],
  "space_group": "P4/mmm",
  "e_form_ev_per_fu": 1.93
}

=====

{
  "formula": "Ba3YAg2O6",
  "functional": "GGA-PBE",
  "state": "relaxed",
  "lattice_angstrom": [[6.318, 0.000, 0.000], [-3.159, 5.472, 0.000], [0.000, 0.000, 6.880]],
  "species": ["Y", "O", "O", "O", "O", "O", "O", "Ba", "Ba", "Ba", "Ag", "Ag"],
  "frac_coords": [[0.000, 0.000, 0.500], [0.836, 0.672, 0.694], [0.836, 0.164, 0.694], [0.328, 0.164, 0.694], [0.164, 0.328, 0.306], [0.164, 0.836, 0.306], [0.672, 0.836, 0.306], [0.000, 0.000, 0.000], [0.667, 0.333, 0.385], [0.333, 0.667, 0.615], [0.333, 0.667, 0.137], [0.667, 0.333, 0.863]],
  "space_group": "P-3m1",
  "e_form_raw_mev_per_atom": -1823
}

=====

{
  "formula": "LiPm2Sn4Rh3",
  "functional": "GGA-PBE",
  "state": "relaxed",
  "lattice_angstrom": [[-2.121, 0.987, -3.905], [-1.308, -4.343, -0.387], [-8.831, 2.183, 5.347]],
  "species": ["Sn", "Sn", "Sn", "Sn", "Pm", "Pm", "Rh", "Rh", "Rh", "Li"],
  "frac_coords": [[0.000, 0.500, 0.373], [0.000, 0.000, 0.000], [0.500, 0.000, 0.627], [0.500, 0.500, 0.000], [0.000, 0.500, 0.750], [0.500, 0.000, 0.250], [0.000, 0.500, 0.129], [0.500, 0.000, 0.871], [0.000, 0.000, 0.500], [0.500, 0.500, 0.500]],
  "space_group": "P-4m2",
  "e_form_ev_per_fu": -6.55
}

=====

{
  "formula": "MnTcPPdCl",
  "functional": "GGA-PBE",
  "state": "relaxed",
  "lattice_angstrom": [[2.927, -0.005, 0.001], [-1.250, 3.522, 0.003], [-0.166, -1.181, 8.159]],
  "species": ["Tc", "P", "Mn", "Pd", "Cl"],
  "frac_coords": [[0.266, 0.791, 0.118], [0.226, 0.633, 0.824], [0.571, 0.281, 0.960], [0.904, 0.004, 0.672], [0.818, 0.870, 0.354]],
  "space_group": "P1",
  "e_form_raw_mev_per_atom": -118
}

=====

{
  "formula": "YMgCu",
  "functional": "GGA-PBE",
  "state": "relaxed",
  "lattice_angstrom": [[-2.590, 0.090, -3.721], [-2.694, -3.174, 1.798], [-3.766, 4.746, 2.735]],
  "species": ["Mg", "Mg", "Cu", "Cu", "Y", "Y"],
  "frac_coords": [[0.500, 0.000, 0.707], [0.000, 0.500, 0.293], [0.500, 0.500, 0.500], [0.000, 0.000, 0.500], [0.000, 0.500, 0.800], [0.500, 0.000, 0.200]],
  "space_group": "P4/nmm",
  "e_form_ev_per_fu": -0.22
}

=====

{
  "formula": "Pm5YHoTm2",
  "functional": "GGA-PBE",
  "state": "relaxed",
  "lattice_angstrom": [[5.624, 0.000, 0.000], [-2.812, 10.090, 0.000], [0.000, 0.000, 10.705]],
  "species": ["Tm", "Tm", "Tm", "Tm", "Pm", "Pm", "Pm", "Pm", "Pm", "Pm", "Pm", "Pm", "Pm", "Pm", "Ho", "Ho", "Y", "Y"],
  "frac_coords": [[0.111, 0.223, 0.739], [0.115, 0.229, 0.312], [0.889, 0.777, 0.239], [0.885, 0.771, 0.812], [0.518, 0.036, 0.242], [0.387, 0.775, 0.022], [0.281, 0.563, 0.311], [0.482, 0.964, 0.742], [0.613, 0.225, 0.522], [0.983, 0.966, 0.519], [0.701, 0.403, 0.208], [0.017, 0.034, 0.019], [0.719, 0.437, 0.811], [0.299, 0.597, 0.708], [0.590, 0.180, 0.960], [0.410, 0.820, 0.460], [0.801, 0.601, 0.511], [0.199, 0.399, 0.011]],
  "space_group": "Cmc2_1",
  "e_form_ev_per_fu": 1.33
}

=====

{
  "formula": "GdTl3",
  "functional": "GGA-PBE",
  "state": "relaxed",
  "lattice_angstrom": [[4.691, 0.000, 0.000], [0.000, 4.691, 0.000], [-2.345, -2.345, 5.067]],
  "species": ["Tl", "Tl", "Tl", "Gd"],
  "frac_coords": [[0.750, 0.250, 0.500], [0.500, 0.500, 0.000], [0.250, 0.750, 0.500], [0.000, 0.000, 0.000]],
  "space_group": "I4/mmm",
  "e_form_ev_per_fu": -0.78
}

=====

{
  "formula": "HoScCdPd",
  "functional": "GGA-PBE",
  "state": "relaxed",
  "lattice_angstrom": [[4.978, 0.000, 0.000], [2.489, 4.311, 0.000], [2.489, 1.437, 4.065]],
  "species": ["Sc", "Pd", "Ho", "Cd"],
  "frac_coords": [[0.000, 0.000, 0.000], [0.250, 0.250, 0.250], [0.500, 0.500, 0.500], [0.750, 0.750, 0.750]],
  "space_group": "F-43m",
  "e_form_ev_per_fu": -2.13
}

=====

{
  "formula": "BeB",
  "functional": "GGA-PBE",
  "state": "relaxed",
  "lattice_angstrom": [[-2.195, -5.799, 3.369], [-1.324, -3.100, -6.199], [2.749, -1.071, -0.052]],
  "species": ["B", "B", "B", "B", "B", "B", "B", "B", "Be", "Be", "Be", "Be", "Be", "Be", "Be", "Be"],
  "frac_coords": [[0.441, 0.201, 0.500], [0.126, 0.465, 0.000], [0.535, 0.126, 0.000], [0.874, 0.535, 0.000], [0.799, 0.441, 0.500], [0.559, 0.799, 0.500], [0.201, 0.559, 0.500], [0.465, 0.874, 0.000], [0.085, 0.728, 0.000], [0.272, 0.085, 0.000], [0.813, 0.701, 0.500], [0.187, 0.299, 0.500], [0.701, 0.187, 0.500], [0.728, 0.915, 0.000], [0.915, 0.272, 0.000], [0.299, 0.813, 0.500]],
  "space_group": "P4/m",
  "e_form_ev_per_fu": 0.66
}